Record 1
Material: Pm4Ga5Ge6
Method: DFT, PBE
State: relaxed

The structure in POSCAR format:
```
Pm4Ga5Ge6
1.0
4.1789 0.0000 0.0000
-2.0894 9.6903 0.0000
0.0000 0.0000 16.7015
Ge Ga Pm
12 10 8
direct
0.1090 0.2180 0.1167
0.8910 0.7820 0.6167
0.1957 0.3913 0.4949
0.5545 0.1091 0.6236
0.7819 0.5638 0.2480
0.2181 0.4362 0.7480
0.8043 0.6087 0.9949
0.5457 0.0914 0.3482
0.5779 0.1557 0.9135
0.4543 0.9086 0.8482
0.4221 0.8443 0.4135
0.4455 0.8909 0.1236
0.6488 0.2976 0.4331
0.6986 0.3973 0.1196
0.6771 0.3543 0.8194
0.4390 0.8779 0.6955
0.3229 0.6457 0.3194
0.1360 0.2720 0.6257
0.3512 0.7024 0.9331
0.3014 0.6027 0.6196
0.8640 0.7280 0.1257
0.5610 0.1221 0.1955
0.8091 0.6182 0.4576
0.0509 0.1017 0.7702
0.0193 0.0386 0.4924
0.1635 0.3269 0.2970
0.9491 0.8983 0.2702
0.1909 0.3818 0.9576
0.9807 0.9614 0.9924
0.8365 0.6731 0.7970
```

## Properties
Formation enthalpy at 0 K ... -11.7 kcal/mol of atoms
Calculated total energy ... -4.63 eV per atom
Crystal system ... orthorhombic
Space group ... Cmc2_1

---

Record 2
Material: Pm4GaGe2
Method: DFT, PBE
State: relaxed

The structure in POSCAR format:
```
Pm4GaGe2
1.0
4.2451 0.0000 0.0000
0.0000 7.6430 0.0674
-2.1225 -3.6770 6.5305
Ge Pm Ga
2 4 1
direct
0.7627 0.7617 0.5253
0.2373 0.2383 0.4747
0.1349 0.7946 0.2699
0.6240 0.3228 0.2481
0.3760 0.6772 0.7519
0.8651 0.2054 0.7301
0.0000 0.0000 0.0000
```

## Properties
Formation enthalpy at 0 K ... -12.1 kcal/mol of atoms
Calculated total energy ... -4.99 eV per atom
Crystal system ... monoclinic
Space group ... C2/m

---

Record 3
Material: Pm2Ga2Ge
Method: DFT, PBE
State: relaxed

The structure in POSCAR format:
```
Pm2Ga2Ge
1.0
-0.7990 -4.1431 0.0735
-0.1303 -2.2226 -5.5501
9.4208 -3.9680 -0.1014
Pm Ga Ge
4 4 2
direct
0.9011 0.2959 0.9019
0.0989 0.7041 0.0981
0.7066 0.2299 0.3568
0.2934 0.7701 0.6432
0.0170 0.3664 0.5997
0.3667 0.1518 0.1149
0.9830 0.6336 0.4003
0.6333 0.8482 0.8851
0.5728 0.1677 0.6868
0.4272 0.8323 0.3132
```

## Properties
Formation enthalpy at 0 K ... -15.8 kcal/mol of atoms
Calculated total energy ... -4.72 eV per atom
Crystal system ... monoclinic
Excess energy over the best structure of this formula in the dataset ... 0.0 meV/atom
Space group ... C2/m

---

Record 4
Material: Pm6Ga5Ge
Method: DFT, PBE
State: relaxed

The structure in POSCAR format:
```
Pm6Ga5Ge
1.0
-7.8582 4.2042 -0.9136
-3.6938 -1.2348 -3.4288
-5.0847 -5.4856 3.4606
Pm Ga Ge
6 5 1
direct
0.7488 0.0867 0.3295
0.2512 0.9133 0.6705
0.7539 0.7461 0.9999
0.7486 0.4158 0.6706
0.2461 0.2539 0.0001
0.2514 0.5842 0.3294
0.5001 0.8337 0.3333
0.5000 0.5000 0.0000
0.0001 0.6721 0.6555
0.9999 0.3279 0.3445
0.4999 0.1663 0.6667
0.0000 0.0000 0.0000
```

## Properties
Formation enthalpy at 0 K ... -13.3 kcal/mol of atoms
Calculated total energy ... -4.60 eV per atom
Crystal system ... triclinic
Space group ... P-1

---

Record 5
Material: Pm2Ga3Ge
Method: DFT, PBE
State: relaxed

The structure in POSCAR format:
```
Pm2Ga3Ge
1.0
-3.6668 -4.6820 -0.7446
2.3694 -2.6627 4.8185
-4.3702 6.9247 2.2283
Ga Pm Ge
6 4 2
direct
0.8354 0.8354 0.1663
0.3309 0.3309 0.1663
0.1646 0.1646 0.8337
0.8346 0.8346 0.6692
0.6691 0.6691 0.8337
0.1654 0.1654 0.3308
0.7500 0.2500 0.5000
0.2539 0.7461 0.0000
0.7461 0.2539 0.0000
0.2500 0.7500 0.5000
0.3328 0.3328 0.6656
0.6672 0.6672 0.3344
```

## Properties
Formation enthalpy at 0 K ... -16.4 kcal/mol of atoms
Calculated total energy ... -4.58 eV per atom
Crystal system ... orthorhombic
Space group ... Fmmm

---

Record 6
Material: Pm3GaGe2
Method: DFT, PBE
State: relaxed

The structure in POSCAR format:
```
Pm3GaGe2
1.0
-4.2098 0.1806 -0.6562
-0.7355 -11.8331 1.4614
-1.7584 1.5553 11.7085
Ge Pm Ga
8 12 4
direct
0.2500 0.6858 0.4816
0.7500 0.3142 0.5184
0.7500 0.9973 0.6871
0.2500 0.0027 0.3129
0.2500 0.4973 0.8129
0.7500 0.1858 0.0184
0.2500 0.8142 0.9816
0.7500 0.5027 0.1871
0.2500 0.8008 0.7024
0.7500 0.6204 0.9428
0.2500 0.6992 0.2024
0.7500 0.9396 0.1236
0.7500 0.5604 0.6236
0.2500 0.0604 0.8764
0.7500 0.8796 0.4428
0.2500 0.3796 0.0572
0.2500 0.4396 0.3764
0.2500 0.1204 0.5572
0.7500 0.1992 0.2976
0.7500 0.3008 0.7976
0.7500 0.6342 0.3653
0.2500 0.1342 0.1347
0.2500 0.3658 0.6347
0.7500 0.8658 0.8653
```

## Properties
Formation enthalpy at 0 K ... -17.2 kcal/mol of atoms
Calculated total energy ... -5.16 eV per atom
Crystal system ... orthorhombic
Excess energy over the best structure of this formula in the dataset ... 0.0 meV/atom
Space group ... Pnma

---

Record 7
Material: Pm2GaGe2
Method: DFT, PBE
State: relaxed

The structure in POSCAR format:
```
Pm2GaGe2
1.0
3.8326 0.0049 1.6314
1.3223 5.2339 2.2028
-0.2102 0.3186 5.8180
Ge Pm Ga
2 2 1
direct
0.0000 0.2086 0.2914
0.0000 0.7914 0.7086
0.2813 0.2181 0.7181
0.7187 0.7819 0.2819
0.5000 0.5000 0.0000
```

## Properties
Formation enthalpy at 0 K ... -16.7 kcal/mol of atoms
Calculated total energy ... -5.08 eV per atom
Crystal system ... orthorhombic
Excess energy over the best structure of this formula in the dataset ... 0.0 meV/atom
Space group ... Immm

---

Record 8
Material: Pm3Ga3Ge2
Method: DFT, PBE
State: relaxed

The structure in POSCAR format:
```
Pm3Ga3Ge2
1.0
4.2490 0.0000 0.0000
-2.1245 5.6179 0.0000
0.0000 0.0000 15.1709
Pm Ga Ge
6 6 4
direct
0.9455 0.8910 0.1105
0.9455 0.8910 0.3895
0.0545 0.1090 0.8895
0.0545 0.1090 0.6105
0.6637 0.3274 0.2500
0.3363 0.6726 0.7500
0.3924 0.7848 0.2500
0.6345 0.2689 0.0371
0.3655 0.7311 0.9629
0.6345 0.2689 0.4629
0.3655 0.7311 0.5371
0.6076 0.2152 0.7500
0.2347 0.4694 0.1145
0.7653 0.5306 0.6145
0.7653 0.5306 0.8855
0.2347 0.4694 0.3855
```

## Properties
Formation enthalpy at 0 K ... -14.7 kcal/mol of atoms
Calculated total energy ... -4.71 eV per atom
Crystal system ... orthorhombic
Excess energy over the best structure of this formula in the dataset ... 58.0 meV/atom
Space group ... Cmcm